No. 1
# Bi3SbPt3

An optimized crystal structure of Bi3SbPt3 (PBE-GGA, the Alexandria database).

Geometry as POSCAR:
```
Bi3SbPt3
1.0
7.603 -0.405 -0.167
-3.750 6.626 -0.167
-0.692 -1.118 7.103
Bi Pt Sb
6 6 2
Direct
0.799 0.201 0.500 Bi
0.352 0.352 0.621 Bi
0.201 0.799 0.500 Bi
0.260 0.740 0.000 Bi
0.740 0.260 0.000 Bi
0.648 0.648 0.379 Bi
0.974 0.974 0.690 Pt
0.026 0.026 0.310 Pt
0.446 0.138 0.255 Pt
0.554 0.862 0.745 Pt
0.138 0.446 0.255 Pt
0.862 0.554 0.745 Pt
0.223 0.223 0.025 Sb
0.777 0.777 0.975 Sb
```

Computed properties:
Raw formation energy   -0.206 eV per atom
Total DFT energy (no corrections)   -5.0469 eV/atom
N(E_F)   6.9 states/eV per cell

---

No. 2
# BiSb3Pt

An optimized crystal structure of BiSb3Pt (PBE-GGA, the Alexandria database).

Geometry as POSCAR:
```
BiSb3Pt
1.0
5.711 0.000 0.000
0.000 5.711 0.000
0.000 0.000 5.711
Bi Pt Sb
1 1 3
Direct
0.000 0.000 0.000 Bi
0.500 0.500 0.500 Pt
0.000 0.000 0.500 Sb
0.500 0.000 0.000 Sb
0.000 0.500 0.000 Sb
```

Computed properties:
Raw formation energy   1.479 eV per atom
Total DFT energy (no corrections)   -2.9784 eV/atom
Polymorph energy (0 for the lowest one)   1187 meV per atom
N(E_F)   4.1 states/eV per cell

---

No. 3
# Bi2SbPt3

An optimized crystal structure of Bi2SbPt3 (PBE-GGA, the Alexandria database).

Geometry as POSCAR:
```
Bi2SbPt3
1.0
7.022 0.109 0.188
-1.429 7.006 -0.650
-1.429 -4.038 5.762
Pt Bi Sb
6 4 2
Direct
0.500 0.000 0.500 Pt
0.000 0.500 0.000 Pt
0.456 0.601 0.758 Pt
0.544 0.399 0.242 Pt
0.956 0.758 0.601 Pt
0.044 0.242 0.399 Pt
0.250 0.929 0.071 Bi
0.750 0.071 0.929 Bi
0.750 0.785 0.215 Bi
0.250 0.215 0.785 Bi
0.750 0.399 0.601 Sb
0.250 0.601 0.399 Sb
```

Computed properties:
Raw formation energy   -0.222 eV per atom
Total DFT energy (no corrections)   -5.2233 eV/atom
Polymorph energy (0 for the lowest one)   123 meV per atom
N(E_F)   5.6 states/eV per cell

---

No. 4
# BiSbPt

An optimized crystal structure of BiSbPt (PBE-GGA, the Alexandria database).

Geometry as POSCAR:
```
BiSbPt
1.0
-4.194 -2.986 1.606
2.012 -3.431 -1.125
0.418 1.477 3.838
Sb Pt Bi
1 1 1
Direct
0.243 0.333 0.667 Sb
0.018 0.000 0.000 Pt
0.739 0.667 0.333 Bi
```

Computed properties:
Raw formation energy   -0.290 eV per atom
Total DFT energy (no corrections)   -4.9712 eV/atom
Polymorph energy (0 for the lowest one)   79 meV per atom
N(E_F)   2.1 states/eV per cell

---

No. 5
# Bi2SbPt3

An optimized crystal structure of Bi2SbPt3 (PBE-GGA, the Alexandria database).

Geometry as POSCAR:
```
Bi2SbPt3
1.0
-3.049 2.747 3.759
1.639 -5.267 5.178
4.440 6.070 -0.835
Pt Bi Sb
6 4 2
Direct
0.515 0.000 0.000 Pt
0.015 0.651 0.349 Pt
0.015 0.349 0.651 Pt
0.015 0.000 0.000 Pt
0.515 0.651 0.349 Pt
0.515 0.349 0.651 Pt
0.765 0.666 0.009 Bi
0.265 0.334 0.991 Bi
0.265 0.991 0.334 Bi
0.765 0.009 0.666 Bi
0.265 0.676 0.676 Sb
0.765 0.324 0.324 Sb
```

Computed properties:
Raw formation energy   -0.345 eV per atom
Total DFT energy (no corrections)   -5.3463 eV/atom
Polymorph energy (0 for the lowest one)   0 meV per atom
N(E_F)   5.5 states/eV per cell

---

No. 6
# BiSbPt

An optimized crystal structure of BiSbPt (PBE-GGA, the Alexandria database).

Geometry as POSCAR:
```
BiSbPt
1.0
-4.435 -5.003 -0.003
4.821 -4.272 -1.791
1.338 -1.190 6.441
Sb Bi Pt
4 4 4
Direct
0.873 0.127 0.627 Sb
0.127 0.627 0.873 Sb
0.627 0.873 0.127 Sb
0.373 0.373 0.373 Sb
0.871 0.371 0.129 Bi
0.129 0.871 0.371 Bi
0.371 0.129 0.871 Bi
0.629 0.629 0.629 Bi
0.010 0.490 0.510 Pt
0.490 0.510 0.010 Pt
0.990 0.990 0.990 Pt
0.510 0.010 0.490 Pt
```

Computed properties:
Raw formation energy   -0.369 eV per atom
Total DFT energy (no corrections)   -5.0506 eV/atom
Polymorph energy (0 for the lowest one)   0 meV per atom
N(E_F)   2.5 states/eV per cell

---

No. 7
# BiSbPt

An optimized crystal structure of BiSbPt (PBE-GGA, the Alexandria database).

Geometry as POSCAR:
```
BiSbPt
1.0
4.776 0.000 0.000
2.388 4.136 0.000
2.388 1.379 3.900
Sb Bi Pt
1 1 1
Direct
0.500 0.500 0.500 Sb
0.000 0.000 0.000 Bi
0.250 0.250 0.250 Pt
```

Computed properties:
Raw formation energy   -0.280 eV per atom
Total DFT energy (no corrections)   -4.9617 eV/atom
Polymorph energy (0 for the lowest one)   89 meV per atom
N(E_F)   1.0 states/eV per cell

---

No. 8
# Bi2Sb2Pt

An optimized crystal structure of Bi2Sb2Pt (PBE-GGA, the Alexandria database).

Geometry as POSCAR:
```
Bi2Sb2Pt
1.0
-0.591 -5.587 -3.828
6.175 -2.023 1.999
-2.625 -3.118 4.956
Sb Bi Pt
4 4 2
Direct
0.149 0.351 0.000 Sb
0.351 0.851 0.000 Sb
0.851 0.649 0.000 Sb
0.649 0.149 0.000 Sb
0.307 0.807 0.500 Bi
0.693 0.193 0.500 Bi
0.193 0.307 0.500 Bi
0.807 0.693 0.500 Bi
0.500 0.500 0.000 Pt
0.000 0.000 0.000 Pt
```

Computed properties:
Raw formation energy   -0.052 eV per atom
Total DFT energy (no corrections)   -4.4617 eV/atom
N(E_F)   3.3 states/eV per cell

---

Number 1: size of the total moment 0.0 μB per cell. Number 2: size of the total moment 0.0 μB per cell. Number 3: size of the total moment 0.0 μB per cell. Number 4: size of the total moment 0.0 μB per cell. Number 5: size of the total moment 0.0 μB per cell. Number 6: size of the total moment 0.0 μB per cell. Number 7: size of the total moment 0.0 μB per cell. Number 8: size of the total moment 0.0 μB per cell.